# FeCuNi (PBEsol, optimized geometry)
# * total magnetic moment: 3.21 μB per formula unit
# * VASP energy: -0.237 Ha/atom
# * ΔE to the lowest computed polymorph: 0.000 eV per atom
# * ΔE_f: 0.1 eV/f.u.
data_FeCuNi
_chemical_formula_sum 'Fe2 Cu2 Ni2'
_symmetry_space_group_name_H-M 'I m m 2'
_symmetry_Int_Tables_number 44
_symmetry_space_group_name_Hall 'I 2 -2'
_cell_length_a 2.481
_cell_length_b 3.539
_cell_length_c 7.442
_cell_angle_alpha 90.00
_cell_angle_beta 90.00
_cell_angle_gamma 90.00
loop_
_atom_site_label
_atom_site_fract_x
_atom_site_fract_y
_atom_site_fract_z
Fe1 0.000 0.000 0.000
Cu1 0.000 0.000 0.669
Ni1 0.000 0.000 0.337

---

# FeCuNi2 (PBEsol, optimized geometry)
# * total magnetic moment: 3.66 μB per formula unit
# * VASP energy: -0.235 Ha/atom
# * ΔE_f: 0.0 eV/f.u.
data_FeCuNi2
_chemical_formula_sum 'Fe3 Cu3 Ni6'
_symmetry_space_group_name_H-M 'R -3 m'
_symmetry_Int_Tables_number 166
_symmetry_space_group_name_Hall '-R 3 2"'
_cell_length_a 2.4731
_cell_length_b 2.4731
_cell_length_c 24.3228
_cell_angle_alpha 90.00
_cell_angle_beta 90.00
_cell_angle_gamma 120.00
loop_
_atom_site_label
_atom_site_fract_x
_atom_site_fract_y
_atom_site_fract_z
Fe1 0.0000 0.0000 0.0000
Cu1 0.0000 0.0000 0.5000
Ni1 0.0000 0.0000 0.2513

---

# FeCu2Ni (PBEsol, optimized geometry)
# * total magnetic moment: 3.23 μB per formula unit
# * VASP energy: -0.216 Ha/atom
# * ΔE_f: 0.3 eV/f.u.
data_FeCu2Ni
_chemical_formula_sum 'Fe1 Cu2 Ni1'
_symmetry_space_group_name_H-M 'P m m 2'
_symmetry_Int_Tables_number 25
_symmetry_space_group_name_Hall 'P 2 -2'
_cell_length_a 2.486
_cell_length_b 3.537
_cell_length_c 5.010
_cell_angle_alpha 90.00
_cell_angle_beta 90.00
_cell_angle_gamma 90.00
loop_
_atom_site_label
_atom_site_fract_x
_atom_site_fract_y
_atom_site_fract_z
Fe1 0.000 0.000 0.000
Cu1 0.000 0.000 0.492
Cu2 0.500 0.500 0.737
Ni1 0.500 0.500 0.232

---

# Fe2CuNi (PBEsol, optimized geometry)
# * total magnetic moment: 5.73 μB per formula unit
# * VASP energy: -0.259 Ha/atom
# * ΔE to the lowest computed polymorph: 0.000 eV per atom
# * ΔE_f: 0.3 eV/f.u.
data_Fe2CuNi
_chemical_formula_sum 'Fe2 Cu1 Ni1'
_symmetry_space_group_name_H-M 'P m m m'
_symmetry_Int_Tables_number 47
_symmetry_space_group_name_Hall '-P 2 2'
_cell_length_a 2.461
_cell_length_b 3.618
_cell_length_c 4.926
_cell_angle_alpha 90.00
_cell_angle_beta 90.00
_cell_angle_gamma 90.00
loop_
_atom_site_label
_atom_site_fract_x
_atom_site_fract_y
_atom_site_fract_z
Fe1 0.000 0.000 0.246
Cu1 0.500 0.500 0.500
Ni1 0.500 0.500 0.000

---

What did the third record say?
# FeCu2Ni (PBEsol, optimized geometry)
# * total magnetic moment: 3.23 μB per formula unit
# * VASP energy: -0.216 Ha/atom
# * ΔE_f: 0.3 eV/f.u.
data_FeCu2Ni
_chemical_formula_sum 'Fe1 Cu2 Ni1'
_symmetry_space_group_name_H-M 'P m m 2'
_symmetry_Int_Tables_number 25
_symmetry_space_group_name_Hall 'P 2 -2'
_cell_length_a 2.486
_cell_length_b 3.537
_cell_length_c 5.010
_cell_angle_alpha 90.00
_cell_angle_beta 90.00
_cell_angle_gamma 90.00
loop_
_atom_site_label
_atom_site_fract_x
_atom_site_fract_y
_atom_site_fract_z
Fe1 0.000 0.000 0.000
Cu1 0.000 0.000 0.492
Cu2 0.500 0.500 0.737
Ni1 0.500 0.500 0.232

---

What is the VASP energy in the second record? -0.235 Ha/atom